(i)
TaTe6Pd2 | PBE-GGA | optimized geometry

Geometry as POSCAR:
```
TaTe6Pd2
1.0
8.382 -1.961 0.000
8.382 1.961 0.000
-1.923 0.000 7.786
Ta Te Pd
1 6 2
direct
0.000 0.000 0.000
0.170 0.170 0.095
0.173 0.173 0.568
0.492 0.492 0.249
0.508 0.508 0.751
0.827 0.827 0.432
0.830 0.830 0.905
0.338 0.338 0.670
0.662 0.662 0.330
```

Values from the calculation:
Size of the total moment   0.00 μB per formula unit
ρ   7.52 g/cm3



(ii)
TaTe6Pd2 | PBE-GGA | optimized geometry

Geometry as POSCAR:
```
TaTe6Pd2
1.0
3.332 1.924 6.303
-3.332 1.924 6.303
0.000 -3.848 6.303
Ta Te Pd
1 6 2
direct
0.000 0.000 0.000
0.097 0.733 0.428
0.253 0.560 0.946
0.428 0.097 0.733
0.560 0.946 0.253
0.733 0.428 0.097
0.946 0.253 0.560
0.663 0.663 0.663
0.842 0.842 0.842
```

Values from the calculation:
Size of the total moment   0.00 μB per formula unit
ρ   7.94 g/cm3



The structure with the least stability is (ii).



(i)
TaTiPd4 | PBE-GGA | optimized geometry

Geometry as POSCAR:
```
TaTiPd4
1.0
2.705 -3.806 0.000
2.705 3.806 0.000
-2.431 0.000 4.750
Ta Ti Pd
1 1 4
direct
0.000 0.000 0.000
0.500 0.500 0.500
0.065 0.435 0.750
0.435 0.065 0.750
0.565 0.935 0.250
0.935 0.565 0.250
```

Values from the calculation:
Size of the total moment   0.00 μB per formula unit
ρ   11.11 g/cm3



(ii)
TaTiPd4 | PBE-GGA | optimized geometry

Geometry as POSCAR:
```
TaTiPd4
1.0
3.284 0.000 0.000
0.000 3.403 0.000
0.000 0.000 8.541
Ta Ti Pd
1 1 4
direct
0.000 0.000 0.000
0.500 0.500 0.500
0.000 0.000 0.340
0.000 0.000 0.660
0.500 0.500 0.161
0.500 0.500 0.839
```

Values from the calculation:
Size of the total moment   0.00 μB per formula unit
ρ   11.39 g/cm3



The structure with the least stability is (i).



(i)
TaTiPd | PBE-GGA | optimized geometry

Geometry as POSCAR:
```
TaTiPd
1.0
4.598 0.000 0.000
-2.299 3.982 0.000
0.000 0.000 2.758
Ta Ti Pd
1 1 1
direct
0.000 0.000 0.000
0.667 0.333 0.391
0.333 0.667 0.707
```

Values from the calculation:
Size of the total moment   1.28 μB per formula unit
ρ   11.02 g/cm3



(ii)
TaTiPd | PBE-GGA | optimized geometry

Geometry as POSCAR:
```
TaTiPd
1.0
5.162 0.000 0.000
0.000 2.868 0.000
-2.082 0.000 13.672
Ta Ti Pd
4 4 4
direct
0.000 0.000 0.000
0.159 0.500 0.823
0.379 0.500 0.489
0.655 0.000 0.821
0.493 0.000 0.325
0.515 0.500 0.002
0.878 0.000 0.492
0.993 0.500 0.328
0.250 0.500 0.165
0.269 0.000 0.654
0.749 0.000 0.166
0.770 0.500 0.654
```

Values from the calculation:
Size of the total moment   0.00 μB per formula unit
ρ   11.00 g/cm3



(iii)
TaTiPd | PBE-GGA | optimized geometry

Geometry as POSCAR:
```
TaTiPd
1.0
2.886 0.000 0.000
0.000 2.886 0.000
0.000 0.000 11.957
Ta Ti Pd
2 2 2
direct
0.250 0.250 0.093
0.750 0.750 0.907
0.250 0.250 0.420
0.750 0.750 0.580
0.250 0.250 0.736
0.750 0.750 0.264
```

Values from the calculation:
Size of the total moment   0.00 μB per formula unit
ρ   11.18 g/cm3



The structure with the least stability is (i).



(i)
Ta3TiPd | PBE-GGA | optimized geometry

Geometry as POSCAR:
```
Ta3TiPd
1.0
4.825 0.000 0.000
0.000 4.825 0.000
0.000 0.000 4.825
Ta Ti Pd
3 1 1
direct
0.000 0.000 0.500
0.000 0.500 0.000
0.500 0.000 0.000
0.500 0.500 0.500
0.000 0.000 0.000
```

Values from the calculation:
Size of the total moment   1.58 μB per formula unit
ρ   10.31 g/cm3



(ii)
Ta3TiPd | PBE-GGA | optimized geometry

Geometry as POSCAR:
```
Ta3TiPd
1.0
-1.365 2.399 6.752
1.365 -2.399 6.752
1.365 2.399 -6.752
Ta Ti Pd
3 1 1
direct
0.000 0.000 0.000
0.403 0.403 0.000
0.797 0.297 0.500
0.200 0.700 0.500
0.601 0.101 0.500
```

Values from the calculation:
Size of the total moment   0.66 μB per formula unit
ρ   13.08 g/cm3



The structure with the least stability is (i).



(i)
TaTl3Pd | PBE-GGA | optimized geometry

Geometry as POSCAR:
```
TaTl3Pd
1.0
5.218 0.000 0.000
0.000 5.218 0.000
0.000 0.000 5.218
Ta Tl Pd
1 3 1
direct
0.000 0.000 0.000
0.000 0.500 0.500
0.500 0.000 0.500
0.500 0.500 0.000
0.500 0.500 0.500
```

Values from the calculation:
Size of the total moment   1.96 μB per formula unit
ρ   10.53 g/cm3



(ii)
TaTl3Pd | PBE-GGA | optimized geometry

Geometry as POSCAR:
```
TaTl3Pd
1.0
5.428 0.000 0.000
0.000 5.428 0.000
0.000 0.000 5.428
Ta Tl Pd
1 3 1
direct
0.000 0.000 0.000
0.000 0.000 0.500
0.000 0.500 0.000
0.500 0.000 0.000
0.500 0.500 0.500
```

Values from the calculation:
Size of the total moment   0.00 μB per formula unit
ρ   9.35 g/cm3



The structure with the least stability is (i).



(i)
TaVPd3 | PBE-GGA | optimized geometry

Geometry as POSCAR:
```
TaVPd3
1.0
4.541 0.000 0.000
0.000 4.541 0.000
0.000 0.000 4.541
Ta V Pd
1 1 3
direct
0.000 0.000 0.000
0.500 0.500 0.500
0.000 0.500 0.500
0.500 0.000 0.500
0.500 0.500 0.000
```

Values from the calculation:
Size of the total moment   1.10 μB per formula unit
ρ   9.77 g/cm3



(ii)
TaVPd3 | PBE-GGA | optimized geometry

Geometry as POSCAR:
```
TaVPd3
1.0
2.630 -4.600 0.000
2.630 4.600 0.000
-1.729 0.000 6.662
Ta V Pd
2 2 6
direct
0.078 0.078 0.198
0.922 0.922 0.802
0.370 0.630 0.000
0.630 0.370 0.000
0.108 0.592 0.311
0.342 0.342 0.630
0.408 0.892 0.689
0.592 0.108 0.311
0.658 0.658 0.370
0.892 0.408 0.689
```

Values from the calculation:
Size of the total moment   0.00 μB per formula unit
ρ   11.35 g/cm3



The structure with the least stability is (i).



(i)
TaPdW3 | PBE-GGA | optimized geometry

Geometry as POSCAR:
```
TaPdW3
1.0
4.742 0.000 0.000
0.000 4.742 0.000
0.000 0.000 4.742
Ta Pd W
1 1 3
direct
0.000 0.000 0.000
0.500 0.500 0.500
0.000 0.000 0.500
0.000 0.500 0.000
0.500 0.000 0.000
```

Values from the calculation:
Size of the total moment   0.00 μB per formula unit
ρ   13.06 g/cm3



(ii)
TaPdW3 | PBE-GGA | optimized geometry

Geometry as POSCAR:
```
TaPdW3
1.0
4.683 0.000 0.000
0.000 4.683 0.000
0.000 0.000 4.683
Ta Pd W
1 1 3
direct
0.000 0.000 0.000
0.500 0.500 0.500
0.000 0.500 0.500
0.500 0.000 0.500
0.500 0.500 0.000
```

Values from the calculation:
Size of the total moment   0.00 μB per formula unit
ρ   13.56 g/cm3



The structure with the least stability is (i).



(i)
TaPd2W | PBE-GGA | optimized geometry

Geometry as POSCAR:
```
TaPd2W
1.0
-3.594 3.594 2.683
3.594 -3.594 2.683
3.594 3.594 -2.683
Ta Pd W
2 4 2
direct
0.000 0.000 0.000
0.750 0.250 0.500
0.127 0.125 0.502
0.375 0.873 0.998
0.623 0.625 0.498
0.875 0.377 0.002
0.250 0.750 0.500
0.500 0.500 0.000
```

Values from the calculation:
Size of the total moment   0.00 μB per formula unit
ρ   13.83 g/cm3



(ii)
TaPd2W | PBE-GGA | optimized geometry

Geometry as POSCAR:
```
TaPd2W
1.0
0.000 3.199 3.199
3.199 0.000 3.199
3.199 3.199 0.000
Ta Pd W
1 2 1
direct
0.000 0.000 0.000
0.250 0.250 0.250
0.750 0.750 0.750
0.500 0.500 0.500
```

Values from the calculation:
Size of the total moment   0.00 μB per formula unit
ρ   14.65 g/cm3



The structure with the least stability is (i).